The following is a GGA-PBE calculation of a geometry-optimized NaGdMgTe3 structure, from OQMD.

Geometry as POSCAR:
```
NaGdMgTe3
1.0
14.9079 0.0000 0.0000
0.0000 4.4335 0.0000
0.0000 0.0000 11.9861
Na Gd Mg Te
4 4 4 12
direct
0.2345 0.2500 0.0654
0.2655 0.7500 0.5654
0.7345 0.2500 0.4346
0.7655 0.7500 0.9346
0.0202 0.2500 0.3464
0.4798 0.7500 0.8464
0.5202 0.2500 0.1536
0.9798 0.7500 0.6536
0.0131 0.7500 0.0977
0.4869 0.2500 0.5977
0.5131 0.7500 0.4023
0.9869 0.2500 0.9023
0.1019 0.7500 0.8857
0.1109 0.2500 0.5752
0.1473 0.7500 0.2543
0.3527 0.2500 0.7543
0.3891 0.7500 0.0752
0.3981 0.2500 0.3857
0.6019 0.7500 0.6143
0.6109 0.2500 0.9248
0.6473 0.7500 0.2457
0.8527 0.2500 0.7457
0.8891 0.7500 0.4248
0.8981 0.2500 0.1143
```

Computed properties:
E	-3.936	eV per atom
SG	Pnma

***

The following is a GGA-PBE calculation of a geometry-optimized PdBr4 structure, from OQMD.

Geometry as POSCAR:
```
PdBr4
1.0
0.0000 6.1365 3.7718
5.7772 0.0000 3.7718
5.7772 6.1365 0.0000
Pd Br
2 8
direct
0.0000 0.0000 0.0000
0.2500 0.2500 0.2500
0.2377 0.8169 0.4451
0.2510 0.2832 0.9237
0.2832 0.2510 0.5421
0.3263 0.7079 0.9990
0.7079 0.3263 0.9668
0.7497 0.8049 0.4331
0.8049 0.7497 0.0123
0.8169 0.2377 0.5003
```

Computed properties:
E	-2.439	eV per atom
SG	Fdd2

***

The following is a GGA-PBE calculation of a geometry-optimized TbGd2In3Ag2Pt structure, from OQMD.

Geometry as POSCAR:
```
TbGd2In3Ag2Pt
1.0
4.0138 0.0000 0.0000
0.0000 6.7152 3.8791
0.0000 -6.7152 3.8791
Tb Gd In Ag Pt
1 2 3 2 1
direct
0.0000 0.0000 0.0000
0.0000 0.3982 0.7969
0.0000 0.7969 0.3982
0.5000 0.1422 0.3978
0.5000 0.3978 0.1422
0.5000 0.6543 0.6543
0.5000 0.0646 0.7321
0.5000 0.7321 0.0646
0.0000 0.3975 0.3975
```

Computed properties:
E	-4.362	eV per atom
SG	Amm2

***

The following is a GGA-PBE calculation of a geometry-optimized TmCoMo structure, from OQMD.

Geometry as POSCAR:
```
TmCoMo
1.0
6.2242 0.0000 0.0000
0.0000 6.2242 0.0000
0.0000 0.0000 6.2242
Tm Co Mo
4 4 4
direct
0.0000 0.0000 0.0000
0.0000 0.5000 0.5000
0.5000 0.0000 0.5000
0.5000 0.5000 0.0000
0.2500 0.2500 0.7500
0.2500 0.7500 0.2500
0.7500 0.2500 0.2500
0.7500 0.7500 0.7500
0.2500 0.2500 0.2500
0.2500 0.7500 0.7500
0.7500 0.2500 0.7500
0.7500 0.7500 0.2500
```

Computed properties:
DFT formation energy	1.391	eV/atom
E	-6.085	eV per atom
SG	F-43m

***

The following is a GGA-PBE calculation of a geometry-optimized Sc2Co12P7 structure, from OQMD.

Geometry as POSCAR:
```
Sc2Co12P7
1.0
8.8963 0.0000 0.0000
-4.4481 7.7044 0.0000
0.0000 0.0000 3.5061
Sc Co P
2 12 7
direct
0.0000 0.0000 0.0000
0.3333 0.6667 0.5000
0.0500 0.7713 0.5000
0.1040 0.3957 0.0000
0.2287 0.2787 0.5000
0.2917 0.8960 0.0000
0.3913 0.2143 0.0000
0.5333 0.0983 0.5000
0.5650 0.4667 0.5000
0.6043 0.7083 0.0000
0.7213 0.9500 0.5000
0.7857 0.1770 0.0000
0.8230 0.6087 0.0000
0.9017 0.4350 0.5000
0.0774 0.6261 0.0000
0.2588 0.0424 0.5000
0.3739 0.4513 0.0000
0.5487 0.9226 0.0000
0.6667 0.3333 0.0000
0.7836 0.7412 0.5000
0.9576 0.2164 0.5000
```

Computed properties:
E	-7.265	eV per atom
SG	P-6

***

The following is a GGA-PBE calculation of a geometry-optimized GdTaN2O structure, from OQMD.

Geometry as POSCAR:
```
GdTaN2O
1.0
5.6026 0.0000 0.0000
2.7762 4.8843 0.0000
2.7457 1.5924 9.1644
Gd Ta N O
4 4 8 4
direct
0.0000 0.0000 0.0000
0.2044 0.2930 0.2488
0.4971 0.5037 0.4899
0.7048 0.8002 0.7447
0.1178 0.1433 0.6293
0.3317 0.4034 0.8746
0.5962 0.6654 0.1223
0.8438 0.9124 0.3613
0.0197 0.5395 0.0281
0.1209 0.3785 0.7429
0.2088 0.7203 0.2202
0.2518 0.8039 0.7759
0.4649 0.9864 0.9601
0.5009 0.0498 0.5213
0.6245 0.8693 0.2464
0.7680 0.2889 0.2693
0.0785 0.8952 0.5017
0.6066 0.4109 0.9796
0.6929 0.2446 0.7019
0.9384 0.4768 0.4632
```

Computed properties:
E	-9.569	eV per atom
SG	P1

***

The following is a GGA-PBE calculation of a geometry-optimized ThTl2 structure, from OQMD.

Geometry as POSCAR:
```
ThTl2
1.0
0.0000 7.1557 7.1557
7.1557 0.0000 7.1557
7.1557 7.1557 0.0000
Th Tl
2 4
direct
0.1250 0.1250 0.1250
0.8750 0.8750 0.8750
0.0000 0.0000 0.0000
0.0000 0.0000 0.5000
0.0000 0.5000 0.0000
0.5000 0.0000 0.0000
```

Computed properties:
E	-2.614	eV per atom
SG	Fd-3m

***

The following is a GGA-PBE calculation of a geometry-optimized RbNbAgS3 structure, from OQMD.

Geometry as POSCAR:
```
RbNbAgS3
1.0
1.8457 -7.6064 0.0000
1.8457 7.6064 0.0000
0.0000 0.0000 9.9562
Rb Nb Ag S
2 2 2 6
direct
0.2503 0.7497 0.7500
0.7497 0.2503 0.2500
0.0000 0.0000 0.0000
0.0000 0.0000 0.5000
0.4543 0.5457 0.2500
0.5457 0.4543 0.7500
0.0657 0.9343 0.2500
0.3849 0.6151 0.0305
0.3849 0.6151 0.4695
0.6151 0.3849 0.5305
0.6151 0.3849 0.9695
0.9343 0.0657 0.7500
```

Computed properties:
E	-5.091	eV per atom
SG	Cmcm